Below is a relaxed structure of Sr2NiTe, with properties calculated at the PBE level.

Summary:
SG ... I-4m2 (119)
Magnetic moment ... 0.00 μB/cell
V ... 240.1 Å³/cell
ΔE_f (raw) ... -0.425 eV/atom
Crystal system ... tetragonal

Unit cell a=4.521 b=4.521 c=11.750 alpha=90.00 beta=90.00 gamma=90.00
Fractional coordinates of all 8 atoms:
Sr (0.000, 0.000, 0.000)
Sr (0.000, 0.500, 0.250)
Sr (0.500, 0.000, 0.750)
Sr (0.500, 0.500, 0.500)
Ni (0.000, 0.000, 0.500)
Ni (0.500, 0.500, 0.000)
Te (0.000, 0.500, 0.750)
Te (0.500, 0.000, 0.250)

Below is a relaxed structure of Sr3NiTe, with properties calculated at the PBE level.

Summary:
SG ... Pm-3m (221)
Energy above the lowest structure with this stoichiometry ... 0 meV/atom
Magnetic moment ... 0.00 μB/cell
V ... 182.3 Å³/cell
ΔE_f (raw) ... -0.407 eV/atom
Crystal system ... cubic

Unit cell a=5.670 b=5.670 c=5.670 alpha=90.00 beta=90.00 gamma=90.00
Fractional coordinates of all 5 atoms:
Sr (0.000, 0.000, 0.500)
Sr (0.000, 0.500, 0.000)
Sr (0.500, 0.000, 0.000)
Ni (0.000, 0.000, 0.000)
Te (0.500, 0.500, 0.500)

Below is a relaxed structure of SrNi3Te, with properties calculated at the PBE level.

Summary:
SG ... Pm-3m (221)
Energy above the lowest structure with this stoichiometry ... 1367 meV/atom
Magnetic moment ... 0.00 μB/cell
V ... 110.3 Å³/cell
ΔE_f (raw) ... 1.478 eV/atom
Crystal system ... cubic

Unit cell a=4.795 b=4.795 c=4.795 alpha=90.00 beta=90.00 gamma=90.00
Fractional coordinates of all 5 atoms:
Sr (0.000, 0.000, 0.000)
Ni (0.000, 0.000, 0.500)
Ni (0.000, 0.500, 0.000)
Ni (0.500, 0.000, 0.000)
Te (0.500, 0.500, 0.500)

Below is a relaxed structure of Sr2NiTe, with properties calculated at the PBE level.

Summary:
SG ... Cm (8)
Magnetic moment ... 0.00 μB/cell
V ... 239.6 Å³/cell
ΔE_f (raw) ... -0.651 eV/atom
Crystal system ... monoclinic

Unit cell a=11.931 b=4.462 c=4.501 alpha=90.00 beta=90.02 gamma=90.00
Fractional coordinates of all 8 atoms:
Sr (0.000, 0.000, 0.000)
Sr (0.213, 0.500, 0.501)
Sr (0.500, 0.500, 0.000)
Sr (0.713, 0.000, 0.501)
Ni (0.280, 0.000, 0.004)
Ni (0.780, 0.500, 0.004)
Te (0.420, 0.000, 0.500)
Te (0.920, 0.500, 0.500)

Below is a relaxed structure of SrNiTe3, with properties calculated at the PBE level.

Summary:
SG ... Pm-3m (221)
Energy above the lowest structure with this stoichiometry ... 1369 meV/atom
Magnetic moment ... 0.08 μB/cell
V ... 219.7 Å³/cell
ΔE_f (raw) ... 0.867 eV/atom
Crystal system ... cubic

Unit cell a=6.034 b=6.034 c=6.034 alpha=90.00 beta=90.00 gamma=90.00
Fractional coordinates of all 5 atoms:
Sr (0.000, 0.000, 0.000)
Ni (0.500, 0.500, 0.500)
Te (0.000, 0.000, 0.500)
Te (0.000, 0.500, 0.000)
Te (0.500, 0.000, 0.000)

Below is a relaxed structure of Sr2NiTe, with properties calculated at the PBE level.

Summary:
SG ... I-42d (122)
Magnetic moment ... 0.00 μB/cell
V ... 549.1 Å³/cell
ΔE_f (raw) ... -0.424 eV/atom
Crystal system ... tetragonal

Unit cell a=8.089 b=8.089 c=8.392 alpha=90.00 beta=90.00 gamma=90.00
Fractional coordinates of all 16 atoms:
Sr (0.213, 0.250, 0.125)
Sr (0.250, 0.713, 0.375)
Sr (0.250, 0.787, 0.875)
Sr (0.287, 0.250, 0.625)
Sr (0.713, 0.750, 0.625)
Sr (0.750, 0.213, 0.875)
Sr (0.750, 0.287, 0.375)
Sr (0.787, 0.750, 0.125)
Ni (0.000, 0.000, 0.000)
Ni (0.000, 0.500, 0.250)
Ni (0.500, 0.000, 0.750)
Ni (0.500, 0.500, 0.500)
Te (0.000, 0.000, 0.500)
Te (0.000, 0.500, 0.750)
Te (0.500, 0.000, 0.250)
Te (0.500, 0.500, 0.000)

Below is a relaxed structure of Sr2NiTe, with properties calculated at the PBE level.

Summary:
SG ... P4mm (99)
Magnetic moment ... 0.11 μB/cell
V ... 136.1 Å³/cell
ΔE_f (raw) ... -0.582 eV/atom
Crystal system ... tetragonal

Unit cell a=4.580 b=4.580 c=6.489 alpha=90.00 beta=90.00 gamma=90.00
Fractional coordinates of all 4 atoms:
Sr (0.000, 0.000, 0.000)
Sr (0.500, 0.500, 0.483)
Ni (0.500, 0.500, 0.997)
Te (0.000, 0.000, 0.501)

Below is a relaxed structure of SrNiTe3, with properties calculated at the PBE level.

Summary:
SG ... Pm-3m (221)
Energy above the lowest structure with this stoichiometry ... 0 meV/atom
Magnetic moment ... 0.00 μB/cell
V ... 142.5 Å³/cell
ΔE_f (raw) ... -0.503 eV/atom
Crystal system ... cubic

Unit cell a=5.223 b=5.223 c=5.223 alpha=90.00 beta=90.00 gamma=90.00
Fractional coordinates of all 5 atoms:
Sr (0.000, 0.000, 0.000)
Ni (0.500, 0.500, 0.500)
Te (0.000, 0.500, 0.500)
Te (0.500, 0.000, 0.500)
Te (0.500, 0.500, 0.000)

Below is a relaxed structure of Sr2NiTe, with properties calculated at the PBE level.

Summary:
SG ... R-3m (166)
Magnetic moment ... 0.35 μB/cell
V ... 399.2 Å³/cell
ΔE_f (raw) ... -0.614 eV/atom
Crystal system ... trigonal

Unit cell a=4.530 b=4.530 c=22.463 alpha=90.00 beta=90.00 gamma=120.00
Fractional coordinates of all 12 atoms:
Sr (0.000, 0.000, 0.244)
Sr (0.000, 0.000, 0.756)
Sr (0.333, 0.667, 0.422)
Sr (0.333, 0.667, 0.911)
Sr (0.667, 0.333, 0.089)
Sr (0.667, 0.333, 0.578)
Ni (0.000, 0.000, 0.500)
Ni (0.333, 0.667, 0.167)
Ni (0.667, 0.333, 0.833)
Te (0.000, 0.000, 0.000)
Te (0.333, 0.667, 0.667)
Te (0.667, 0.333, 0.333)

Below is a relaxed structure of Sr2NiTe4, with properties calculated at the PBE level.

Summary:
SG ... I4/mmm (139)
Magnetic moment ... 0.00 μB/cell
V ... 447.3 Å³/cell
ΔE_f (raw) ... -0.795 eV/atom
Crystal system ... tetragonal

Unit cell a=5.233 b=5.233 c=16.333 alpha=90.00 beta=90.00 gamma=90.00
Fractional coordinates of all 14 atoms:
Sr (0.000, 0.000, 0.138)
Sr (0.000, 0.000, 0.862)
Sr (0.500, 0.500, 0.362)
Sr (0.500, 0.500, 0.638)
Ni (0.000, 0.000, 0.500)
Ni (0.500, 0.500, 0.000)
Te (0.000, 0.000, 0.339)
Te (0.000, 0.000, 0.661)
Te (0.000, 0.500, 0.000)
Te (0.000, 0.500, 0.500)
Te (0.500, 0.000, 0.000)
Te (0.500, 0.000, 0.500)
Te (0.500, 0.500, 0.161)
Te (0.500, 0.500, 0.839)

Below is a relaxed structure of Sr2TlNiTe, with properties calculated at the PBE level.

Summary:
SG ... P4/mmm (123)
Magnetic moment ... 0.00 μB/cell
V ... 160.7 Å³/cell
ΔE_f (raw) ... -0.548 eV/atom
Crystal system ... tetragonal

Unit cell a=5.718 b=5.718 c=4.916 alpha=90.00 beta=90.00 gamma=90.00
Fractional coordinates of all 5 atoms:
Sr (0.000, 0.500, 0.000)
Sr (0.500, 0.000, 0.000)
Tl (0.000, 0.000, 0.500)
Ni (0.000, 0.000, 0.000)
Te (0.500, 0.500, 0.500)

Below is a relaxed structure of SrVNiTe2, with properties calculated at the PBE level.

Summary:
SG ... P4/mmm (123)
Magnetic moment ... 0.00 μB/cell
V ... 128.1 Å³/cell
ΔE_f (raw) ... -0.237 eV/atom
Crystal system ... tetragonal

Unit cell a=5.285 b=5.285 c=4.585 alpha=90.00 beta=90.00 gamma=90.00
Fractional coordinates of all 5 atoms:
Sr (0.000, 0.000, 0.000)
V (0.500, 0.500, 0.500)
Ni (0.500, 0.500, 0.000)
Te (0.000, 0.500, 0.500)
Te (0.500, 0.000, 0.500)

Below is a relaxed structure of SrThNi4, with properties calculated at the PBE level.

Summary:
SG ... F-43m (216)
DFT formation energy ... -0.170 eV/atom
Magnetic moment ... 0.00 μB/cell
V ... 99.7 Å³/cell
Crystal system ... cubic

Unit cell a=5.205 b=5.205 c=5.205 alpha=60.00 beta=60.00 gamma=60.00
Fractional coordinates of all 6 atoms:
Sr (0.000, 0.000, 0.000)
Th (0.750, 0.750, 0.750)
Ni (0.376, 0.376, 0.376)
Ni (0.376, 0.376, 0.873)
Ni (0.376, 0.873, 0.376)
Ni (0.873, 0.376, 0.376)

Below is a relaxed structure of SrTiNi2, with properties calculated at the PBE level.

Summary:
SG ... Fm-3m (225)
Energy above the lowest structure with this stoichiometry ... 20 meV/atom
DFT formation energy ... 0.287 eV/atom
Magnetic moment ... 0.00 μB/cell
V ... 286.3 Å³/cell
Crystal system ... cubic

Unit cell a=6.590 b=6.590 c=6.590 alpha=90.00 beta=90.00 gamma=90.00
Fractional coordinates of all 16 atoms:
Sr (0.000, 0.000, 0.000)
Sr (0.000, 0.500, 0.500)
Sr (0.500, 0.000, 0.500)
Sr (0.500, 0.500, 0.000)
Ti (0.000, 0.000, 0.500)
Ti (0.000, 0.500, 0.000)
Ti (0.500, 0.000, 0.000)
Ti (0.500, 0.500, 0.500)
Ni (0.250, 0.250, 0.250)
Ni (0.250, 0.250, 0.750)
Ni (0.250, 0.750, 0.250)
Ni (0.250, 0.750, 0.750)
Ni (0.750, 0.250, 0.250)
Ni (0.750, 0.250, 0.750)
Ni (0.750, 0.750, 0.250)
Ni (0.750, 0.750, 0.750)

Below is a relaxed structure of SrTiNi2, with properties calculated at the PBE level.

Summary:
SG ... I4_1/amd (141)
Energy above the lowest structure with this stoichiometry ... 0 meV/atom
DFT formation energy ... 0.267 eV/atom
Magnetic moment ... 0.70 μB/cell
V ... 369.3 Å³/cell
Crystal system ... tetragonal

Unit cell a=4.897 b=4.897 c=15.400 alpha=90.00 beta=90.00 gamma=90.00
Fractional coordinates of all 16 atoms:
Sr (0.000, 0.250, 0.375)
Sr (0.000, 0.750, 0.625)
Sr (0.500, 0.250, 0.125)
Sr (0.500, 0.750, 0.875)
Ti (0.000, 0.250, 0.875)
Ti (0.000, 0.750, 0.125)
Ti (0.500, 0.250, 0.625)
Ti (0.500, 0.750, 0.375)
Ni (0.000, 0.000, 0.000)
Ni (0.000, 0.500, 0.000)
Ni (0.250, 0.250, 0.750)
Ni (0.250, 0.750, 0.250)
Ni (0.500, 0.000, 0.500)
Ni (0.500, 0.500, 0.500)
Ni (0.750, 0.250, 0.750)
Ni (0.750, 0.750, 0.250)

Below is a relaxed structure of Sr2TiNi2, with properties calculated at the PBE level.

Summary:
SG ... P4/mbm (127)
DFT formation energy ... 0.215 eV/atom
Magnetic moment ... 0.07 μB/cell
V ... 227.2 Å³/cell
Crystal system ... tetragonal

Unit cell a=6.813 b=6.813 c=4.894 alpha=90.00 beta=90.00 gamma=90.00
Fractional coordinates of all 10 atoms:
Sr (0.178, 0.322, 0.000)
Sr (0.322, 0.822, 0.000)
Sr (0.678, 0.178, 0.000)
Sr (0.822, 0.678, 0.000)
Ti (0.000, 0.000, 0.500)
Ti (0.500, 0.500, 0.500)
Ni (0.126, 0.626, 0.500)
Ni (0.374, 0.126, 0.500)
Ni (0.626, 0.874, 0.500)
Ni (0.874, 0.374, 0.500)

Below is a relaxed structure of SrTi3Ni, with properties calculated at the PBE level.

Summary:
SG ... Pm-3m (221)
Energy above the lowest structure with this stoichiometry ... 0 meV/atom
DFT formation energy ... 0.411 eV/atom
Magnetic moment ... 0.08 μB/cell
V ... 108.3 Å³/cell
Crystal system ... cubic

Unit cell a=4.767 b=4.767 c=4.767 alpha=90.00 beta=90.00 gamma=90.00
Fractional coordinates of all 5 atoms:
Sr (0.000, 0.000, 0.000)
Ti (0.000, 0.500, 0.500)
Ti (0.500, 0.000, 0.500)
Ti (0.500, 0.500, 0.000)
Ni (0.500, 0.500, 0.500)

Below is a relaxed structure of SrTiNi3, with properties calculated at the PBE level.

Summary:
SG ... Pm-3m (221)
Energy above the lowest structure with this stoichiometry ... 0 meV/atom
DFT formation energy ... 0.333 eV/atom
Magnetic moment ... 0.00 μB/cell
V ... 96.4 Å³/cell
Crystal system ... cubic

Unit cell a=4.585 b=4.585 c=4.585 alpha=90.00 beta=90.00 gamma=90.00
Fractional coordinates of all 5 atoms:
Sr (0.000, 0.000, 0.000)
Ti (0.500, 0.500, 0.500)
Ni (0.000, 0.500, 0.500)
Ni (0.500, 0.000, 0.500)
Ni (0.500, 0.500, 0.000)

Below is a relaxed structure of SrTi3Ni, with properties calculated at the PBE level.

Summary:
SG ... Pm-3m (221)
Energy above the lowest structure with this stoichiometry ... 1704 meV/atom
DFT formation energy ... 2.116 eV/atom
Magnetic moment ... 0.01 μB/cell
V ... 101.6 Å³/cell
Crystal system ... cubic

Unit cell a=4.665 b=4.665 c=4.665 alpha=90.00 beta=90.00 gamma=90.00
Fractional coordinates of all 5 atoms:
Sr (0.000, 0.000, 0.000)
Ti (0.000, 0.000, 0.500)
Ti (0.000, 0.500, 0.000)
Ti (0.500, 0.000, 0.000)
Ni (0.500, 0.500, 0.500)

Below is a relaxed structure of SrTiNi3, with properties calculated at the PBE level.

Summary:
SG ... Pm-3m (221)
Energy above the lowest structure with this stoichiometry ... 1378 meV/atom
DFT formation energy ... 1.711 eV/atom
Magnetic moment ... 0.00 μB/cell
V ... 102.2 Å³/cell
Crystal system ... cubic

Unit cell a=4.675 b=4.675 c=4.675 alpha=90.00 beta=90.00 gamma=90.00
Fractional coordinates of all 5 atoms:
Sr (0.000, 0.000, 0.000)
Ti (0.500, 0.500, 0.500)
Ni (0.000, 0.000, 0.500)
Ni (0.000, 0.500, 0.000)
Ni (0.500, 0.000, 0.000)